## SrNd5Sb6 (GGA-PBE)

Data for an optimized crystal structure of SrNd5Sb6.

Cell and atoms, written as POSCAR:
```
SrNd5Sb6
1.0
7.895 0.218 0.000
2.432 7.514 0.000
1.216 3.757 6.849
Sr Nd Sb
1 5 6
Direct
0.000 0.000 0.000 Sr
0.500 0.164 0.672 Nd
0.000 0.332 0.335 Nd
0.500 0.500 0.000 Nd
0.000 0.668 0.665 Nd
0.500 0.836 0.328 Nd
0.745 0.085 0.341 Sb
0.255 0.573 0.341 Sb
0.253 0.257 0.000 Sb
0.747 0.743 0.000 Sb
0.745 0.427 0.659 Sb
0.255 0.915 0.659 Sb
```

## Properties
- Space group: C2/m
- M_tot: 0.00 μB per atom
- Density of states at the Fermi level: 4.812 states/eV/cell
- Total DFT energy (no corrections): -63.67 eV for the cell shown